First-principles (GGA-PBE) data for crystalline Mg2ZrBeN at its relaxed geometry, as listed in the Alexandria database.

a = 4.179 Å, b = 4.446 Å, c = 4.179 Å
α = 90.00°, β = 90.00°, γ = 90.00°
Positions (direct):
Mg 0.000 0.000 0.500
N 0.000 0.000 0.000
Mg 0.500 0.000 0.000
Be 0.500 0.500 0.500
Zr 0.000 0.500 0.000

Properties
raw formation energy = -0.3041 eV/atom
magnetization = 0.00 μB/cell